Record 1
# Li2Co2Si2O7 GGA-PBEsol optimized geometry
data_Li2Co2Si2O7
_chemical_formula_sum 'Li8 Co8 Si8 O28'
_space_group_name_H-M_alt 'A m a 2'
_space_group_IT_number 40
_cell_length_a 12.9991
_cell_length_b 8.1430
_cell_length_c 4.9989
_cell_angle_alpha 90.00
_cell_angle_beta 90.00
_cell_angle_gamma 90.00
loop_
_space_group_symop_operation_xyz
'x,y,z'
'-x,-y,z'
'-x+1/2,y,z'
'x+1/2,-y,z'
'x,y+1/2,z+1/2'
'-x,-y+1/2,z+1/2'
'-x+1/2,y+1/2,z+1/2'
'x+1/2,-y+1/2,z+1/2'
loop_
_atom_site_label
_atom_site_type_symbol
_atom_site_fract_x
_atom_site_fract_y
_atom_site_fract_z
_atom_site_occupancy
Li1 Li 0.0843 0.2010 0.0000 1
Co1 Co 0.0000 0.0000 0.4783 1
Co2 Co 0.2500 0.4974 0.9603 1
Si1 Si 0.1367 0.3466 0.5048 1
O1 O 0.0503 0.2187 0.6056 1
O2 O 0.1285 0.0099 0.1985 1
O3 O 0.1378 0.3963 0.1903 1
O4 O 0.2500 0.2532 0.5753 1
# Size of the total moment, μB/f.u.: 6.00
# Energy, eV per atom: -7.10
# ΔE_f (raw), eV per formula unit: -24.69

Record 2
# LiCoSiO4 GGA-PBEsol optimized geometry
data_LiCoSiO4
_chemical_formula_sum 'Li2 Co2 Si2 O8'
_space_group_name_H-M_alt 'I -4'
_space_group_IT_number 82
_cell_length_a 4.4360
_cell_length_b 4.4360
_cell_length_c 8.4135
_cell_angle_alpha 90.00
_cell_angle_beta 90.00
_cell_angle_gamma 90.00
loop_
_space_group_symop_operation_xyz
'x,y,z'
'y,-x,-z'
'-x,-y,z'
'-y,x,-z'
'x+1/2,y+1/2,z+1/2'
'y+1/2,-x+1/2,-z+1/2'
'-x+1/2,-y+1/2,z+1/2'
'-y+1/2,x+1/2,-z+1/2'
loop_
_atom_site_label
_atom_site_type_symbol
_atom_site_fract_x
_atom_site_fract_y
_atom_site_fract_z
_atom_site_occupancy
Li1 Li 0.0000 0.0000 0.0000 1
Co1 Co 0.0000 0.5000 0.2500 1
Si1 Si 0.0000 0.0000 0.5000 1
O1 O 0.1890 0.2444 0.3916 1
# Size of the total moment, μB/f.u.: 4.00
# Energy, eV per atom: -7.07
# ΔE_f (raw), eV per formula unit: -13.02

Record 3
# LiCoSiO4 GGA-PBEsol optimized geometry
data_LiCoSiO4
_chemical_formula_sum 'Li4 Co4 Si4 O16'
_space_group_name_H-M_alt 'P n m a'
_space_group_IT_number 62
_cell_length_a 9.9694
_cell_length_b 5.8269
_cell_length_c 4.5521
_cell_angle_alpha 90.00
_cell_angle_beta 90.00
_cell_angle_gamma 90.00
loop_
_space_group_symop_operation_xyz
'x,y,z'
'-x,-y,-z'
'-x+1/2,-y,z+1/2'
'x+1/2,y,-z+1/2'
'x+1/2,-y+1/2,-z+1/2'
'-x+1/2,y+1/2,z+1/2'
'-x,y+1/2,-z'
'x,-y+1/2,z'
loop_
_atom_site_label
_atom_site_type_symbol
_atom_site_fract_x
_atom_site_fract_y
_atom_site_fract_z
_atom_site_occupancy
Li1 Li 0.2230 0.2500 0.0152 1
Co1 Co 0.0000 0.0000 0.5000 1
Si1 Si 0.0825 0.7500 0.0759 1
O1 O 0.0648 0.2500 0.7336 1
O2 O 0.0803 0.7500 0.7130 1
O3 O 0.1441 0.5162 0.2185 1
# Size of the total moment, μB/f.u.: 0.06
# Energy, eV per atom: -7.17
# ΔE_f (raw), eV per formula unit: -13.76

Record 4
# Li5Co4Si6O20 GGA-PBEsol optimized geometry
data_Li5Co4Si6O20
_chemical_formula_sum 'Li5 Co4 Si6 O20'
_space_group_name_H-M_alt 'P 1'
_space_group_IT_number 1
_cell_length_a 5.2952
_cell_length_b 5.2994
_cell_length_c 16.7565
_cell_angle_alpha 93.81
_cell_angle_beta 90.31
_cell_angle_gamma 118.87
loop_
_space_group_symop_operation_xyz
'x,y,z'
loop_
_atom_site_label
_atom_site_type_symbol
_atom_site_fract_x
_atom_site_fract_y
_atom_site_fract_z
_atom_site_occupancy
Li1 Li 0.0000 0.0000 0.0000 1
Li2 Li 0.0880 0.7661 0.4558 1
Li3 Li 0.2162 0.8922 0.7874 1
Li4 Li 0.7105 0.8958 0.1850 1
Li5 Li 0.8683 0.8987 0.6808 1
Co1 Co 0.3723 0.2057 0.1552 1
Co2 Co 0.5382 0.2127 0.6492 1
Co3 Co 0.5489 0.5834 0.8215 1
Co4 Co 0.7190 0.5770 0.3185 1
Si1 Si 0.0283 0.5518 0.1368 1
Si2 Si 0.0681 0.2316 0.3321 1
Si3 Si 0.2118 0.5511 0.6347 1
Si4 Si 0.4036 0.3943 0.4839 1
Si5 Si 0.6867 0.3960 0.9853 1
Si6 Si 0.8708 0.2400 0.8336 1
O1 O 0.0234 0.5147 0.3429 1
O2 O 0.0316 0.2449 0.1366 1
O3 O 0.1473 0.1583 0.4200 1
O4 O 0.1730 0.5330 0.8212 1
O5 O 0.2066 0.8448 0.6697 1
O6 O 0.2609 0.5690 0.5369 1
O7 O 0.3292 0.8395 0.1673 1
O8 O 0.3478 0.3031 0.2767 1
O9 O 0.4089 0.2030 0.0355 1
O10 O 0.4596 0.1895 0.5404 1
O11 O 0.4893 0.5443 0.6785 1
O12 O 0.5952 0.2511 0.7900 1
O13 O 0.6579 0.6203 0.9299 1
O14 O 0.6718 0.6136 0.4350 1
O15 O 0.7515 0.5283 0.1869 1
O16 O 0.7842 0.9438 0.2958 1
O17 O 0.8062 0.2040 0.9305 1
O18 O 0.8798 0.9489 0.7982 1
O19 O 0.9133 0.2615 0.6519 1
O20 O 0.9638 0.6166 0.0460 1
# Size of the total moment, μB/f.u.: 15.05
# Energy, eV per atom: -7.21
# ΔE_f (raw), eV per formula unit: -71.98

Record 5
# Li2CoSi2O6 GGA-PBEsol optimized geometry
data_Li2CoSi2O6
_chemical_formula_sum 'Li8 Co4 Si8 O24'
_space_group_name_H-M_alt 'C 1 2/c 1'
_space_group_IT_number 15
_cell_length_a 5.7164
_cell_length_b 9.4953
_cell_length_c 9.2105
_cell_angle_alpha 90.00
_cell_angle_beta 90.59
_cell_angle_gamma 90.00
loop_
_space_group_symop_operation_xyz
'x,y,z'
'-x,-y,-z'
'-x,y,-z+1/2'
'x,-y,z+1/2'
'x+1/2,y+1/2,z'
'-x+1/2,-y+1/2,-z'
'-x+1/2,y+1/2,-z+1/2'
'x+1/2,-y+1/2,z+1/2'
loop_
_atom_site_label
_atom_site_type_symbol
_atom_site_fract_x
_atom_site_fract_y
_atom_site_fract_z
_atom_site_occupancy
Li1 Li 0.0604 0.1697 0.3824 1
Co1 Co 0.0000 0.2510 0.7500 1
Si1 Si 0.1713 0.4678 0.3648 1
O1 O 0.0000 0.3782 0.2500 1
O2 O 0.0000 0.5000 0.0000 1
O3 O 0.1201 0.1397 0.5890 1
O4 O 0.2426 0.1154 0.2065 1
# Size of the total moment, μB/f.u.: 3.00
# Energy, eV per atom: -7.17
# ΔE_f (raw), eV per formula unit: -24.23

Record 6
# LiCoSiO4 GGA-PBEsol optimized geometry
data_LiCoSiO4
_chemical_formula_sum 'Li18 Co18 Si18 O72'
_space_group_name_H-M_alt 'R -3'
_space_group_IT_number 148
_space_group_name_Hall '-R 3'
_cell_length_a 13.5793
_cell_length_b 13.5793
_cell_length_c 9.2865
_cell_angle_alpha 90.00
_cell_angle_beta 90.00
_cell_angle_gamma 120.00
loop_
_atom_site_label
_atom_site_type_symbol
_atom_site_fract_x
_atom_site_fract_y
_atom_site_fract_z
_atom_site_occupancy
Li1 Li 0.0176 0.2114 0.2509 1
Co1 Co 0.0161 0.2101 0.9099 1
Si1 Si 0.0190 0.2102 0.5772 1
O1 O 0.0030 0.3204 0.5666 1
O2 O 0.0739 0.2020 0.7291 1
O3 O 0.0870 0.2140 0.0736 1
O4 O 0.0957 0.2055 0.4405 1
# Size of the total moment, μB/f.u.: 3.99
# Energy, eV per atom: -7.11
# ΔE_f (raw), eV per formula unit: -13.32

Record 7
# Li2CoSi2O6 GGA-PBEsol optimized geometry
data_Li2CoSi2O6
_chemical_formula_sum 'Li16 Co8 Si16 O48'
_space_group_name_H-M_alt 'F d d 2'
_space_group_IT_number 43
_space_group_name_Hall 'F 2 -2d'
_cell_length_a 7.2012
_cell_length_b 19.0747
_cell_length_c 7.1773
_cell_angle_alpha 90.00
_cell_angle_beta 90.00
_cell_angle_gamma 90.00
loop_
_atom_site_label
_atom_site_type_symbol
_atom_site_fract_x
_atom_site_fract_y
_atom_site_fract_z
_atom_site_occupancy
Li1 Li 0.0196 0.1659 0.0000 1
Co1 Co 0.0000 0.0000 0.0015 1
Si1 Si 0.0627 0.3312 0.9294 1
O1 O 0.0252 0.2453 0.3930 1
O2 O 0.0263 0.0830 0.8383 1
O3 O 0.1070 0.1121 0.4784 1
# Size of the total moment, μB/f.u.: 3.00
# Energy, eV per atom: -7.22
# ΔE_f (raw), eV per formula unit: -24.72

Record 8
# LiCoSi2O6 GGA-PBEsol optimized geometry
data_LiCoSi2O6
_chemical_formula_sum 'Li4 Co4 Si8 O24'
_space_group_name_H-M_alt 'C 1 2/c 1'
_space_group_IT_number 15
_cell_length_a 9.4221
_cell_length_b 8.3665
_cell_length_c 5.2307
_cell_angle_alpha 90.00
_cell_angle_beta 110.97
_cell_angle_gamma 90.00
loop_
_space_group_symop_operation_xyz
'x,y,z'
'-x,-y,-z'
'-x,y,-z+1/2'
'x,-y,z+1/2'
'x+1/2,y+1/2,z'
'-x+1/2,-y+1/2,-z'
'-x+1/2,y+1/2,-z+1/2'
'x+1/2,-y+1/2,z+1/2'
loop_
_atom_site_label
_atom_site_type_symbol
_atom_site_fract_x
_atom_site_fract_y
_atom_site_fract_z
_atom_site_occupancy
Li1 Li 0.0000 0.2335 0.2500 1
Co1 Co 0.0000 0.4171 0.7500 1
Si1 Si 0.2025 0.0950 0.7493 1
O1 O 0.1086 0.4135 0.1389 1
O2 O 0.1343 0.2724 0.6843 1
O3 O 0.1396 0.0068 0.4510 1
# Size of the total moment, μB/f.u.: 0.07
# Energy, eV per atom: -7.49
# ΔE_f (raw), eV per formula unit: -22.19

Record 9
# LiCoSiO4 GGA-PBEsol optimized geometry
data_LiCoSiO4
_chemical_formula_sum 'Li4 Co4 Si4 O16'
_space_group_name_H-M_alt 'C m c m'
_space_group_IT_number 63
_space_group_name_Hall '-C 2c 2'
_cell_length_a 5.1669
_cell_length_b 8.0949
_cell_length_c 5.8945
_cell_angle_alpha 90.00
_cell_angle_beta 90.00
_cell_angle_gamma 90.00
loop_
_atom_site_label
_atom_site_type_symbol
_atom_site_fract_x
_atom_site_fract_y
_atom_site_fract_z
_atom_site_occupancy
Li1 Li 0.0000 0.1676 0.2500 1
Co1 Co 0.0000 0.5000 0.0000 1
Si1 Si 0.0000 0.1592 0.7500 1
O1 O 0.0000 0.2698 0.5251 1
O2 O 0.2488 0.4775 0.2500 1
# Size of the total moment, μB/f.u.: 0.04
# Energy, eV per atom: -7.12
# ΔE_f (raw), eV per formula unit: -13.37

Record 10
# LiCoSiO4 GGA-PBEsol optimized geometry
data_LiCoSiO4
_chemical_formula_sum 'Li3 Co3 Si3 O12'
_space_group_name_H-M_alt 'P 64 2 2'
_space_group_IT_number 181
_space_group_name_Hall 'P 64 2 (0 0 2)'
_cell_length_a 5.3079
_cell_length_b 5.3079
_cell_length_c 11.9399
_cell_angle_alpha 90.00
_cell_angle_beta 90.00
_cell_angle_gamma 120.00
loop_
_atom_site_label
_atom_site_type_symbol
_atom_site_fract_x
_atom_site_fract_y
_atom_site_fract_z
_atom_site_occupancy
Li1 Li 0.0000 0.0000 0.0000 1
Co1 Co 0.0000 0.5000 0.8333 1
Si1 Si 0.0000 0.5000 0.3333 1
O1 O 0.1872 0.3924 0.2587 1
# Size of the total moment, μB/f.u.: 4.00
# Energy, eV per atom: -7.06
# ΔE_f (raw), eV per formula unit: -12.97

Record 11
# Li6CoSi2O8 GGA-PBEsol optimized geometry
data_Li6CoSi2O8
_chemical_formula_sum 'Li6 Co1 Si2 O8'
_space_group_name_H-M_alt 'P -1'
_space_group_IT_number 2
_cell_length_a 4.9900
_cell_length_b 5.4155
_cell_length_c 6.1713
_cell_angle_alpha 88.11
_cell_angle_beta 79.07
_cell_angle_gamma 84.37
loop_
_space_group_symop_operation_xyz
'x,y,z'
'-x,-y,-z'
loop_
_atom_site_label
_atom_site_type_symbol
_atom_site_fract_x
_atom_site_fract_y
_atom_site_fract_z
_atom_site_occupancy
Li1 Li 0.1156 0.2529 0.0363 1
Li2 Li 0.2661 0.3675 0.6108 1
Li3 Li 0.3407 0.5995 0.1874 1
Co1 Co 0.0000 0.0000 0.5000 1
Si1 Si 0.3772 0.7997 0.7184 1
O1 O 0.1934 0.0636 0.7759 1
O2 O 0.2669 0.5799 0.8949 1
O3 O 0.2876 0.2183 0.2988 1
O4 O 0.3095 0.7153 0.4792 1
# Size of the total moment, μB/f.u.: 3.00
# Energy, eV per atom: -6.46
# ΔE_f (raw), eV per formula unit: -36.78

Record 12
# LiCoSiO4 GGA-PBEsol optimized geometry
data_LiCoSiO4
_chemical_formula_sum 'Li4 Co4 Si4 O16'
_space_group_name_H-M_alt 'P 43 2 2'
_space_group_IT_number 95
_cell_length_a 5.5038
_cell_length_b 5.5038
_cell_length_c 7.7372
_cell_angle_alpha 90.00
_cell_angle_beta 90.00
_cell_angle_gamma 90.00
loop_
_space_group_symop_operation_xyz
'x,y,z'
'-y,x,z+3/4'
'-x,-y,z+1/2'
'y,-x,z+1/4'
'x,-y,-z+1/2'
'-y,-x,-z+3/4'
'-x,y,-z'
'y,x,-z+1/4'
loop_
_atom_site_label
_atom_site_type_symbol
_atom_site_fract_x
_atom_site_fract_y
_atom_site_fract_z
_atom_site_occupancy
Li1 Li 0.0000 0.2314 0.0000 1
Co1 Co 0.2428 0.5000 0.2500 1
Si1 Si 0.2558 0.2558 0.6250 1
O1 O 0.0052 0.2640 0.7384 1
O2 O 0.2622 0.4962 0.0046 1
# Size of the total moment, μB/f.u.: 0.00
# Energy, eV per atom: -7.20
# ΔE_f (raw), eV per formula unit: -13.94

Record 13
# LiCoSiO4 GGA-PBEsol optimized geometry
data_LiCoSiO4
_chemical_formula_sum 'Li3 Co3 Si3 O12'
_space_group_name_H-M_alt 'P 62 2 2'
_space_group_IT_number 180
_space_group_name_Hall 'P 62 2 (0 0 4)'
_cell_length_a 5.4298
_cell_length_b 5.4298
_cell_length_c 11.2732
_cell_angle_alpha 90.00
_cell_angle_beta 90.00
_cell_angle_gamma 120.00
loop_
_atom_site_label
_atom_site_type_symbol
_atom_site_fract_x
_atom_site_fract_y
_atom_site_fract_z
_atom_site_occupancy
Li1 Li 0.0000 0.0000 0.0000 1
Co1 Co 0.0000 0.5000 0.6667 1
Si1 Si 0.0000 0.5000 0.1667 1
O1 O 0.1723 0.3926 0.2516 1
# Size of the total moment, μB/f.u.: 4.00
# Energy, eV per atom: -7.06
# ΔE_f (raw), eV per formula unit: -12.94

Record 14
# Li2CoSi2O6 GGA-PBEsol optimized geometry
data_Li2CoSi2O6
_chemical_formula_sum 'Li4 Co2 Si4 O12'
_space_group_name_H-M_alt 'P 1 21 1'
_space_group_IT_number 4
_cell_length_a 5.3702
_cell_length_b 4.7070
_cell_length_c 9.5505
_cell_angle_alpha 90.00
_cell_angle_beta 93.06
_cell_angle_gamma 90.00
loop_
_space_group_symop_operation_xyz
'x,y,z'
'-x,y+1/2,-z'
loop_
_atom_site_label
_atom_site_type_symbol
_atom_site_fract_x
_atom_site_fract_y
_atom_site_fract_z
_atom_site_occupancy
Li1 Li 0.1515 0.0000 0.3338 1
Li2 Li 0.3393 0.4999 0.4892 1
Co1 Co 0.2689 0.5078 0.1495 1
Si1 Si 0.1876 0.9972 0.6612 1
Si2 Si 0.3713 0.4946 0.8275 1
O1 O 0.1032 0.4091 0.3251 1
O2 O 0.2107 0.3497 0.6858 1
O3 O 0.2293 0.4133 0.9628 1
O4 O 0.3027 0.9158 0.5146 1
O5 O 0.3417 0.9007 0.1843 1
O6 O 0.3648 0.8438 0.7892 1
# Size of the total moment, μB/f.u.: 3.00
# Energy, eV per atom: -7.15
# ΔE_f (raw), eV per formula unit: -24.02